No. 1
Crystalline HfNiSn2 at its relaxed geometry, computed with PBEsol.

Values from the calculation:
**DFT formation energy**: 0.33 eV per formula unit

a = 6.7266 Å, b = 6.7266 Å, c = 6.7266 Å
α = 90.00°, β = 90.00°, γ = 90.00°
Space group Fm-3m (No. 225)
Inequivalent atoms, fractional coordinates:
Hf  0.0000  0.0000  0.0000
Ni  0.0000  0.0000  0.5000
Sn  0.2500  0.2500  0.2500

---

No. 2
Crystalline NaLa3Ta at its relaxed geometry, computed with PBEsol.

Values from the calculation:
**DFT formation energy**: 2.56 eV per formula unit

a = 5.6906 Å, b = 5.6906 Å, c = 5.6906 Å
α = 90.00°, β = 90.00°, γ = 90.00°
Space group Pm-3m (No. 221)
Inequivalent atoms, fractional coordinates:
Na  0.0000  0.0000  0.0000
La  0.0000  0.5000  0.5000
Ta  0.5000  0.5000  0.5000

---

No. 3
Crystalline Ta2RhAu at its relaxed geometry, computed with PBEsol.

Values from the calculation:
**DFT formation energy**: -1.19 eV per formula unit

a = 2.8469 Å, b = 4.0367 Å, c = 5.5823 Å
α = 90.00°, β = 90.00°, γ = 90.00°
Space group Pmmm (No. 47)
Inequivalent atoms, fractional coordinates:
Ta  0.0000  0.0000  0.2408
Rh  0.5000  0.5000  0.0000
Au  0.5000  0.5000  0.5000

---

No. 4
Crystalline KScBiPd2 at its relaxed geometry, computed with PBEsol.

Values from the calculation:
**DFT formation energy**: 5.22 eV per formula unit

a = 4.7272 Å, b = 4.7272 Å, c = 5.8389 Å
α = 90.00°, β = 90.00°, γ = 90.00°
Space group P4/mmm (No. 123)
Inequivalent atoms, fractional coordinates:
K  0.0000  0.0000  0.0000
Sc  0.5000  0.5000  0.5000
Bi  0.0000  0.0000  0.5000
Pd  0.0000  0.5000  0.0000

---

No. 5
Crystalline CoCuOs2I at its relaxed geometry, computed with PBEsol.

Values from the calculation:
**Uncorrected formation energy**: 13.70 eV per formula unit

a = 4.7644 Å, b = 4.7644 Å, c = 4.5628 Å
α = 90.00°, β = 90.00°, γ = 90.00°
Space group P4/mmm (No. 123)
Inequivalent atoms, fractional coordinates:
Co  0.0000  0.0000  0.0000
Cu  0.5000  0.5000  0.0000
Os  0.0000  0.5000  0.5000
I  0.5000  0.5000  0.5000

---

No. 6
Crystalline Li4OsAu at its relaxed geometry, computed with PBEsol.

Values from the calculation:
**DFT formation energy**: 1.69 eV per formula unit

a = 6.6879 Å, b = 6.6879 Å, c = 6.6879 Å
α = 90.00°, β = 90.00°, γ = 90.00°
Space group F-43m (No. 216)
Inequivalent atoms, fractional coordinates:
Li  0.1238  0.1238  0.3762
Os  0.2500  0.2500  0.7500
Au  0.0000  0.0000  0.0000

---

No. 7
Crystalline Li3TiPt at its relaxed geometry, computed with PBEsol.

Values from the calculation:
**ΔE to the lowest computed polymorph**: 0 meV per atom
**DFT formation energy**: 2.35 eV per formula unit

a = 4.5282 Å, b = 4.5282 Å, c = 4.5282 Å
α = 90.00°, β = 90.00°, γ = 90.00°
Space group Pm-3m (No. 221)
Inequivalent atoms, fractional coordinates:
Li  0.0000  0.0000  0.5000
Ti  0.5000  0.5000  0.5000
Pt  0.0000  0.0000  0.0000

---

No. 8
Crystalline AlGa3C at its relaxed geometry, computed with PBEsol.

Values from the calculation:
**DFT formation energy**: 3.44 eV per formula unit

a = 4.2824 Å, b = 4.2824 Å, c = 4.2824 Å
α = 90.00°, β = 90.00°, γ = 90.00°
Space group Pm-3m (No. 221)
Inequivalent atoms, fractional coordinates:
Al  0.0000  0.0000  0.0000
Ga  0.0000  0.5000  0.5000
C  0.5000  0.5000  0.5000

---

No. 9
Crystalline Si4NiO10 at its relaxed geometry, computed with PBEsol.

Values from the calculation:
**Uncorrected formation energy**: -32.82 eV per formula unit

a = 7.2313 Å, b = 7.2313 Å, c = 15.3752 Å
α = 90.00°, β = 90.00°, γ = 90.00°
Space group P4/ncc (No. 130, origin choice 2)
Inequivalent atoms, fractional coordinates:
Si  0.0039  0.0720  0.1476
Ni  0.2500  0.2500  0.4124
O  0.0042  0.7090  0.8749
O  0.0215  0.1653  0.4072
O  0.0379  0.5379  0.2500

---

No. 10
Crystalline Ni2TeOs at its relaxed geometry, computed with PBEsol.

Values from the calculation:
**Uncorrected formation energy**: 1.32 eV per formula unit

a = 3.8565 Å, b = 3.8565 Å, c = 7.3297 Å
α = 90.00°, β = 90.00°, γ = 90.00°
Space group I-4m2 (No. 119)
Inequivalent atoms, fractional coordinates:
Ni  0.0000  0.0000  0.0000
Ni  0.0000  0.5000  0.2500
Te  0.0000  0.0000  0.5000
Os  0.0000  0.5000  0.7500

---

No. 11
Crystalline OsRh3O at its relaxed geometry, computed with PBEsol.

Values from the calculation:
**Uncorrected formation energy**: 2.89 eV per formula unit

a = 4.0034 Å, b = 4.0034 Å, c = 4.0034 Å
α = 90.00°, β = 90.00°, γ = 90.00°
Space group Pm-3m (No. 221)
Inequivalent atoms, fractional coordinates:
Os  0.0000  0.0000  0.0000
Rh  0.0000  0.5000  0.5000
O  0.5000  0.5000  0.5000

---

No. 12
Crystalline LaHRh3 at its relaxed geometry, computed with PBEsol.

Values from the calculation:
**ΔE to the lowest computed polymorph**: 2211 meV per atom

a = 4.8058 Å, b = 4.8058 Å, c = 4.8058 Å
α = 90.00°, β = 90.00°, γ = 90.00°
Space group Pm-3m (No. 221)
Inequivalent atoms, fractional coordinates:
La  0.0000  0.0000  0.0000
H  0.5000  0.5000  0.5000
Rh  0.0000  0.0000  0.5000

---

No. 13
Crystalline Li2BeRh at its relaxed geometry, computed with PBEsol.

Values from the calculation:
**DFT formation energy**: -0.83 eV per formula unit

a = 2.9600 Å, b = 3.6173 Å, c = 4.1927 Å
α = 90.00°, β = 90.00°, γ = 90.00°
Space group Pmmm (No. 47)
Inequivalent atoms, fractional coordinates:
Li  0.0000  0.0000  0.0000
Li  0.5000  0.5000  0.0000
Be  0.0000  0.5000  0.5000
Rh  0.5000  0.0000  0.5000

---

No. 14
Crystalline Na2CdPt2 at its relaxed geometry, computed with PBEsol.

Values from the calculation:
**DFT formation energy**: -0.42 eV per formula unit

a = 6.7382 Å, b = 6.7382 Å, c = 4.5139 Å
α = 90.00°, β = 90.00°, γ = 90.00°
Space group P4/mbm (No. 127)
Inequivalent atoms, fractional coordinates:
Na  0.1667  0.3333  0.0000
Cd  0.0000  0.0000  0.5000
Pt  0.1325  0.6325  0.5000

---

No. 15
Crystalline NaLa2BiRh at its relaxed geometry, computed with PBEsol.

Values from the calculation:
**DFT formation energy**: 4.31 eV per formula unit

a = 5.4521 Å, b = 5.4521 Å, c = 4.9489 Å
α = 90.00°, β = 90.00°, γ = 90.00°
Space group P4/mmm (No. 123)
Inequivalent atoms, fractional coordinates:
Na  0.0000  0.0000  0.0000
La  0.0000  0.5000  0.0000
Bi  0.0000  0.0000  0.5000
Rh  0.5000  0.5000  0.5000

---

No. 16
Crystalline Zn2SbPt at its relaxed geometry, computed with PBEsol.

Values from the calculation:
**Uncorrected formation energy**: -0.12 eV per formula unit

a = 5.4131 Å, b = 7.6822 Å, c = 3.2421 Å
α = 90.00°, β = 90.00°, γ = 90.00°
Space group Cmmm (No. 65)
Inequivalent atoms, fractional coordinates:
Zn  0.2500  0.2500  0.0000
Sb  0.0000  0.0000  0.5000
Pt  0.0000  0.5000  0.5000

---

No. 17
Crystalline ReSb2Te at its relaxed geometry, computed with PBEsol.

Values from the calculation:
**Uncorrected formation energy**: 2.96 eV per formula unit

a = 6.9607 Å, b = 6.9607 Å, c = 6.9607 Å
α = 90.00°, β = 90.00°, γ = 90.00°
Space group F-43m (No. 216)
Inequivalent atoms, fractional coordinates:
Re  0.0000  0.0000  0.0000
Sb  0.0000  0.0000  0.5000
Sb  0.2500  0.2500  0.2500
Te  0.2500  0.2500  0.7500

---

No. 18
Crystalline SiP2H18C6Cl4 at its relaxed geometry, computed with PBEsol.

a = 6.6332 Å, b = 8.3069 Å, c = 13.0894 Å
α = 90.00°, β = 100.53°, γ = 90.00°
Space group P2_1/c (No. 14)
Inequivalent atoms, fractional coordinates:
Si  0.0000  0.0000  0.0000
P  0.1761  0.2069  0.1009
H  0.0669  0.6918  0.7988
H  0.0896  0.0341  0.6629
H  0.1173  0.6194  0.9308
H  0.2327  0.0664  0.2633
H  0.2629  0.1486  0.4565
H  0.3891  0.2449  0.2696
H  0.4044  0.0760  0.5787
H  0.4573  0.0662  0.2047
H  0.4768  0.2378  0.0232
C  0.0030  0.1447  0.6371
C  0.3295  0.1400  0.2217
C  0.3477  0.1841  0.5335
Cl  0.1711  0.6921  0.6003
Cl  0.2307  0.5070  0.3967

---

No. 19
Crystalline K2ZnCu3P3O12F at its relaxed geometry, computed with PBEsol.

Values from the calculation:
**Uncorrected formation energy**: -39.46 eV per formula unit

a = 4.8817 Å, b = 14.3803 Å, c = 7.8694 Å
α = 90.00°, β = 90.24°, γ = 90.00°
Space group P2_1/m (No. 11)
Inequivalent atoms, fractional coordinates:
K  0.0000  0.0000  0.0000
K  0.0532  0.2500  0.3653
Zn  0.4670  0.7500  0.9526
Cu  0.0000  0.0000  0.5000
Cu  0.4318  0.6371  0.3543
P  0.0264  0.2500  0.8225
P  0.4973  0.5667  0.7048
O  0.0635  0.6610  0.2733
O  0.0784  0.7500  0.9920
O  0.1887  0.5772  0.6611
O  0.3311  0.0793  0.4645
O  0.3470  0.2500  0.8267
O  0.4130  0.1407  0.1676
O  0.4394  0.5292  0.2157
F  0.4382  0.7500  0.4908

---

No. 20
Crystalline AgPbAu2 at its relaxed geometry, computed with PBEsol.

Values from the calculation:
**DFT formation energy**: 0.01 eV per formula unit

a = 3.4815 Å, b = 3.4815 Å, c = 6.4645 Å
α = 90.00°, β = 90.00°, γ = 90.00°
Space group P4/mmm (No. 123)
Inequivalent atoms, fractional coordinates:
Ag  0.0000  0.0000  0.0000
Pb  0.0000  0.0000  0.5000
Au  0.5000  0.5000  0.2198

---

Taking the records one at a time from the top gives uncorrected energy values of -6.212, -5.486, -9.590, -3.744, -4.913, -3.719, -3.766, -4.063, -7.631, -6.685, -7.799, -4.776, -4.224, -3.668, -4.041, -3.701, -5.753, -4.964, -6.300, -3.788 eV/atom.